(1)
# AlTcPt

Crystalline AlTcPt at its relaxed geometry (GGA-PBE, Alexandria via LeMat-Bulk).

Structure (POSCAR):
```
AlTcPt
1.0
2.806 0.000 0.000
-1.403 2.430 0.000
0.000 0.000 6.504
Tc Pt Al
1 1 1
Cartesian
0.000 1.620 4.379
1.403 0.810 2.111
0.000 0.000 0.014
```

Computed properties:
Energy relative to the elements   -0.365 eV per atom
Total moment   0.00 μB/f.u.
Calculated total energy   -7.081 eV per atom
V   44.4 Å³ per cell
Energy above the most stable polymorph in this dataset   66 meV per atom



(2)
# AlTc2Pt

Crystalline AlTc2Pt at its relaxed geometry (GGA-PBE, Alexandria via LeMat-Bulk).

Structure (POSCAR):
```
AlTc2Pt
1.0
-0.914 -3.955 -2.392
-1.183 -3.315 3.132
-1.624 4.384 -0.586
Tc Pt Al
2 1 1
Cartesian
0.000 0.000 0.000
-1.927 -1.283 1.457
-1.793 -1.603 -1.304
-1.048 -3.635 0.370
```

Computed properties:
Energy relative to the elements   -0.283 eV per atom
Total moment   0.65 μB/f.u.
Calculated total energy   -7.912 eV per atom
V   58.9 Å³ per cell
Energy above the most stable polymorph in this dataset   115 meV per atom



(3)
# AlTc2Pt

Crystalline AlTc2Pt at its relaxed geometry (GGA-PBE, Alexandria via LeMat-Bulk).

Structure (POSCAR):
```
AlTc2Pt
1.0
-2.169 -0.104 4.504
-0.786 -4.592 1.817
3.579 3.090 -1.627
Tc Pt Al
2 1 1
Cartesian
-0.015 -0.024 0.032
0.633 -1.965 1.729
0.014 0.395 2.916
-1.486 -2.361 3.178
```

Computed properties:
Energy relative to the elements   -0.274 eV per atom
Total moment   0.00 μB/f.u.
Calculated total energy   -7.903 eV per atom
V   58.5 Å³ per cell
Energy above the most stable polymorph in this dataset   123 meV per atom



(4)
# AlTcPt2

Crystalline AlTcPt2 at its relaxed geometry (GGA-PBE, Alexandria via LeMat-Bulk).

Structure (POSCAR):
```
AlTcPt2
1.0
4.466 0.000 0.000
0.000 2.752 -0.002
0.000 0.004 4.847
Tc Pt Al
1 2 1
Cartesian
0.000 1.721 2.176
0.000 0.348 4.581
2.233 0.345 1.465
2.233 1.723 3.891
```

Computed properties:
Energy relative to the elements   -0.465 eV per atom
Total moment   0.00 μB/f.u.
Calculated total energy   -7.012 eV per atom
V   59.6 Å³ per cell
Energy above the most stable polymorph in this dataset   37 meV per atom



(5)
# AlTc2Pt

Crystalline AlTc2Pt at its relaxed geometry (GGA-PBE, Alexandria via LeMat-Bulk).

Structure (POSCAR):
```
AlTc2Pt
1.0
8.874 0.005 0.003
8.431 2.766 0.003
8.431 1.350 2.414
Tc Pt Al
2 1 1
Cartesian
25.621 4.102 2.409
6.432 1.030 0.605
19.412 3.108 1.825
12.878 2.062 1.211
```

Computed properties:
Energy relative to the elements   -0.325 eV per atom
Total moment   0.00 μB/f.u.
Calculated total energy   -7.954 eV per atom
V   59.1 Å³ per cell
Energy above the most stable polymorph in this dataset   73 meV per atom



(6)
# AlTcPt2

Crystalline AlTcPt2 at its relaxed geometry (GGA-PBE, Alexandria via LeMat-Bulk).

Structure (POSCAR):
```
AlTcPt2
1.0
2.833 0.000 0.000
0.000 2.833 0.000
0.000 0.000 7.450
Tc Pt Al
1 2 1
Cartesian
0.000 0.000 3.757
0.000 0.000 7.268
1.416 1.416 1.975
1.416 1.416 5.624
```

Computed properties:
Energy relative to the elements   -0.436 eV per atom
Total moment   0.00 μB/f.u.
Calculated total energy   -6.984 eV per atom
V   59.8 Å³ per cell
Energy above the most stable polymorph in this dataset   66 meV per atom



(7)
# AlTcPt2

Crystalline AlTcPt2 at its relaxed geometry (GGA-PBE, Alexandria via LeMat-Bulk).

Structure (POSCAR):
```
AlTcPt2
1.0
2.772 0.000 0.000
0.000 3.936 0.000
0.000 0.000 5.461
Tc Pt Al
1 2 1
Cartesian
1.386 1.968 1.365
0.000 0.000 0.006
0.000 0.000 2.724
1.386 1.968 4.095
```

Computed properties:
Energy relative to the elements   -0.443 eV per atom
Total moment   0.00 μB/f.u.
Calculated total energy   -6.991 eV per atom
V   59.6 Å³ per cell
Energy above the most stable polymorph in this dataset   58 meV per atom



(8)
# AlTcPt2

Crystalline AlTcPt2 at its relaxed geometry (GGA-PBE, Alexandria via LeMat-Bulk).

Structure (POSCAR):
```
AlTcPt2
1.0
-2.986 -2.649 7.869
-4.723 -4.123 6.209
-2.170 -5.141 6.835
Tc Pt Al
1 2 1
Cartesian
-2.470 -2.978 5.228
-0.040 -0.049 0.086
-4.899 -5.908 10.370
-7.409 -8.935 15.684
```

Computed properties:
Energy relative to the elements   -0.376 eV per atom
Total moment   0.00 μB/f.u.
Calculated total energy   -6.924 eV per atom
V   59.7 Å³ per cell
Energy above the most stable polymorph in this dataset   126 meV per atom



(9)
# AlTc2Pt

Crystalline AlTc2Pt at its relaxed geometry (GGA-PBE, Alexandria via LeMat-Bulk).

Structure (POSCAR):
```
AlTc2Pt
1.0
4.105 0.000 0.000
0.000 2.830 0.011
0.000 2.794 5.137
Tc Pt Al
2 1 1
Cartesian
0.000 2.831 0.107
0.000 2.811 2.478
2.052 4.218 3.861
2.052 1.406 1.287
```

Computed properties:
Energy relative to the elements   -0.206 eV per atom
Total moment   0.00 μB/f.u.
Calculated total energy   -7.834 eV per atom
V   59.6 Å³ per cell
Energy above the most stable polymorph in this dataset   192 meV per atom



(10)
# AlTc2Pt

Crystalline AlTc2Pt at its relaxed geometry (GGA-PBE, Alexandria via LeMat-Bulk).

Structure (POSCAR):
```
AlTc2Pt
1.0
-2.420 -2.164 -1.508
1.693 -3.007 1.598
-2.544 0.418 3.483
Tc Pt Al
2 1 1
Cartesian
0.000 0.000 0.000
-0.364 -2.586 0.045
-0.425 -1.295 2.541
-2.482 -0.873 0.988
```

Computed properties:
Energy relative to the elements   -0.264 eV per atom
Total moment   0.00 μB/f.u.
Calculated total energy   -7.893 eV per atom
V   59.0 Å³ per cell
Energy above the most stable polymorph in this dataset   133 meV per atom



(11)
# AlTcPt2

Crystalline AlTcPt2 at its relaxed geometry (GGA-PBE, Alexandria via LeMat-Bulk).

Structure (POSCAR):
```
AlTcPt2
1.0
-0.284 -0.374 -3.834
0.852 -3.753 0.303
-3.914 -0.859 0.374
Tc Pt Al
1 2 1
Cartesian
-2.099 -0.616 -1.730
0.000 0.000 0.000
0.284 -2.064 -1.765
-1.531 -2.306 0.338
```

Computed properties:
Energy relative to the elements   -0.382 eV per atom
Total moment   1.12 μB/f.u.
Calculated total energy   -6.930 eV per atom
V   60.0 Å³ per cell
Energy above the most stable polymorph in this dataset   119 meV per atom



(12)
# AlTcPt2

Crystalline AlTcPt2 at its relaxed geometry (GGA-PBE, Alexandria via LeMat-Bulk).

Structure (POSCAR):
```
AlTcPt2
1.0
-3.014 4.302 -1.448
-4.863 -0.611 -2.380
3.309 -0.754 4.263
Tc Pt Al
1 2 1
Cartesian
-4.118 1.929 -2.001
-7.633 3.576 -3.709
-2.807 0.269 -0.045
-1.826 2.699 0.448
```

Computed properties:
Energy relative to the elements   -0.368 eV per atom
Total moment   0.00 μB/f.u.
Calculated total energy   -6.915 eV per atom
V   60.3 Å³ per cell
Energy above the most stable polymorph in this dataset   134 meV per atom



(13)
# AlTc2Pt

Crystalline AlTc2Pt at its relaxed geometry (GGA-PBE, Alexandria via LeMat-Bulk).

Structure (POSCAR):
```
AlTc2Pt
1.0
2.809 0.000 0.000
0.000 3.772 0.000
0.000 0.000 5.619
Tc Pt Al
2 1 1
Cartesian
0.000 0.000 0.187
1.405 1.886 1.294
1.405 1.886 4.070
0.000 0.000 2.877
```

Computed properties:
Energy relative to the elements   -0.333 eV per atom
Total moment   0.00 μB/f.u.
Calculated total energy   -7.962 eV per atom
V   59.5 Å³ per cell
Energy above the most stable polymorph in this dataset   64 meV per atom



(14)
# AlTcPt2

Crystalline AlTcPt2 at its relaxed geometry (GGA-PBE, Alexandria via LeMat-Bulk).

Structure (POSCAR):
```
AlTcPt2
1.0
4.808 -0.008 -0.007
1.673 4.507 0.007
-3.238 -2.254 2.748
Tc Pt Al
1 2 1
Cartesian
0.838 2.252 1.377
6.481 4.500 0.000
3.241 2.250 0.000
2.405 -0.006 1.371
```

Computed properties:
Energy relative to the elements   -0.400 eV per atom
Total moment   0.00 μB/f.u.
Calculated total energy   -6.948 eV per atom
V   59.6 Å³ per cell
Energy above the most stable polymorph in this dataset   101 meV per atom



(15)
# AlTcPt2

Crystalline AlTcPt2 at its relaxed geometry (GGA-PBE, Alexandria via LeMat-Bulk).

Structure (POSCAR):
```
AlTcPt2
1.0
-4.087 -2.510 0.025
3.296 -2.154 2.739
-0.872 1.440 2.184
Tc Pt Al
1 2 1
Cartesian
-2.480 -0.535 1.105
0.000 0.000 0.000
-0.395 -2.332 1.382
1.212 -0.357 2.461
```

Computed properties:
Energy relative to the elements   -0.458 eV per atom
Total moment   0.44 μB/f.u.
Calculated total energy   -7.006 eV per atom
V   59.5 Å³ per cell
Energy above the most stable polymorph in this dataset   44 meV per atom



(16)
# AlTc2Pt

Crystalline AlTc2Pt at its relaxed geometry (GGA-PBE, Alexandria via LeMat-Bulk).

Structure (POSCAR):
```
AlTc2Pt
1.0
4.377 0.000 0.000
2.189 3.791 0.000
2.189 1.264 3.574
Tc Pt Al
2 1 1
Cartesian
0.000 0.000 0.000
6.566 3.791 2.681
2.189 1.264 0.894
4.377 2.527 1.787
```

Computed properties:
Energy relative to the elements   -0.173 eV per atom
Total moment   0.98 μB/f.u.
Calculated total energy   -7.802 eV per atom
V   59.3 Å³ per cell
Energy above the most stable polymorph in this dataset   224 meV per atom



(17)
# AlTcPt2

Crystalline AlTcPt2 at its relaxed geometry (GGA-PBE, Alexandria via LeMat-Bulk).

Structure (POSCAR):
```
AlTcPt2
1.0
-0.217 -2.647 3.510
3.499 -0.456 2.632
-0.055 1.719 4.052
Tc Pt Al
1 2 1
Cartesian
2.421 -1.038 7.645
0.000 0.000 0.000
0.807 -0.346 2.548
1.614 -0.692 5.097
```

Computed properties:
Energy relative to the elements   -0.273 eV per atom
Total moment   0.00 μB/f.u.
Calculated total energy   -6.820 eV per atom
V   60.3 Å³ per cell
Energy above the most stable polymorph in this dataset   229 meV per atom



(18)
# AlTc2Pt

Crystalline AlTc2Pt at its relaxed geometry (GGA-PBE, Alexandria via LeMat-Bulk).

Structure (POSCAR):
```
AlTc2Pt
1.0
4.665 0.005 -0.008
3.847 2.639 -0.008
0.662 0.206 4.815
Tc Pt Al
2 1 1
Cartesian
9.133 2.837 4.637
6.889 2.140 3.726
2.308 0.717 1.346
4.602 1.429 2.291
```

Computed properties:
Energy relative to the elements   -0.296 eV per atom
Total moment   0.00 μB/f.u.
Calculated total energy   -7.925 eV per atom
V   59.2 Å³ per cell
Energy above the most stable polymorph in this dataset   102 meV per atom



(19)
# AlTc2Pt

Crystalline AlTc2Pt at its relaxed geometry (GGA-PBE, Alexandria via LeMat-Bulk).

Structure (POSCAR):
```
AlTc2Pt
1.0
-1.980 1.643 -0.909
-1.308 -2.155 -1.044
-3.896 -0.930 6.801
Tc Pt Al
2 1 1
Cartesian
-0.017 -0.004 0.030
-1.930 -0.461 3.370
-4.566 -0.954 4.124
-2.618 -0.489 0.724
```

Computed properties:
Energy relative to the elements   -0.162 eV per atom
Total moment   0.00 μB/f.u.
Calculated total energy   -7.791 eV per atom
V   58.8 Å³ per cell
Energy above the most stable polymorph in this dataset   235 meV per atom



(20)
# AlTc2Pt

Crystalline AlTc2Pt at its relaxed geometry (GGA-PBE, Alexandria via LeMat-Bulk).

Structure (POSCAR):
```
AlTc2Pt
1.0
-0.052 3.670 -3.279
0.179 -1.456 -4.698
-2.723 -1.207 3.918
Tc Pt Al
2 1 1
Cartesian
0.000 0.000 0.000
0.064 1.107 -3.988
-1.355 1.785 -1.675
-1.240 -0.778 -2.384
```

Computed properties:
Energy relative to the elements   -0.277 eV per atom
Total moment   0.00 μB/f.u.
Calculated total energy   -7.906 eV per atom
V   58.7 Å³ per cell
Energy above the most stable polymorph in this dataset   120 meV per atom